1.
Crystalline LiNdPaSe4 at its relaxed geometry. Source: Alexandria, functional PBE.

Output
Magnetic moment   4.085 μB per cell
E   -5.812 eV per atom

Cell: 8.3880 8.4690 11.9541 Å, 90.00 90.00 90.00°
With the nearest neighbours (Å) after each atom.
Space group Imma (No. 74)
Symmetry-distinct sites (fractional):
Li: 0.0000 0.2500 0.1197  4 Se 2.65-2.75
Nd: 0.0000 0.0000 0.5000  6 Se 2.96-2.98
Pa: 0.2500 0.2500 0.7500  6 Se 2.84-2.88
Se: 0.0000 0.0164 0.7490  1 Li 2.75, 2 Pa 2.88, 1 Nd 2.98
Se: 0.2465 0.2500 0.5124  1 Li 2.65, 1 Pa 2.84, 2 Nd 2.96

=====

2.
Crystalline CaTmInI6 at its relaxed geometry. Source: Alexandria, functional PBE.

Output
Magnetic moment   0.000 μB per cell
E   -3.303 eV per atom

Cell: 7.9118 7.9118 15.2502 Å, 90.00 90.00 120.00°
With the nearest neighbours (Å) after each atom.
Space group P-31c (No. 163)
Symmetry-distinct sites (fractional):
Ca: 0.3333 0.6667 0.2500  6 I 3.15
Tm: 0.3333 0.6667 0.7500  6 I 3.01
In: 0.0000 0.0000 0.0000  6 I 3.53
I: 0.0130 0.3694 0.6347  1 Tm 3.01, 1 Ca 3.15

=====

3.
Crystalline Tb6OsRh5 at its relaxed geometry. Source: Alexandria, functional PBE.

Output
Magnetic moment   0.000 μB per cell
E_form   -725 meV/atom
E   -7.039 eV per atom

Cell: 4.8783 14.6341 6.8235 Å, 90.00 90.00 90.00°
With the nearest neighbours (Å) after each atom.
Space group Cmmm (No. 65)
Symmetry-distinct sites (fractional):
Tb: 0.0000 0.0000 0.2480  2 Os 2.97, 6 Rh 2.98-2.99
Tb: 0.0000 0.3345 0.2489  1 Os 2.96, 7 Rh 2.97-2.98
Os: 0.0000 0.5000 0.0000  8 Tb 2.96-2.97
Rh: 0.0000 0.1676 0.0000  8 Tb 2.97-2.98
Rh: 0.0000 0.1675 0.5000  8 Tb 2.98-2.99
Rh: 0.0000 0.5000 0.5000  8 Tb 2.97-2.98

=====

4.
Crystalline Ba2PmI2O2 at its relaxed geometry. Source: Alexandria, functional PBE.

Output
Magnetic moment   0.522 μB per cell
E   -5.261 eV per atom

Cell: 4.6963 4.6963 18.4314 Å, 90.00 90.00 90.00°
With the nearest neighbours (Å) after each atom.
Space group I4/mmm (No. 139)
Symmetry-distinct sites (fractional):
Ba: 0.0000 0.0000 0.0984  4 O 2.97
Pm: 0.0000 0.0000 0.5000  4 O 2.35
I: 0.0000 0.0000 0.3187  1 Pm 3.34, 4 Ba 3.66
O: 0.0000 0.5000 0.0000  2 Pm 2.35

=====

5.
Crystalline Ce3PtRh at its relaxed geometry. Source: Alexandria, functional PBE.

Output
Magnetic moment   8.184 μB per cell
Polymorph energy (0 for the lowest one)   0.000 eV/atom
E_form   -710 meV/atom
E   -6.949 eV per atom

Cell: 8.8988 7.4759 7.6311 Å, 90.00 103.05 90.00°
With the nearest neighbours (Å) after each atom.
Space group P2_1/c (No. 14)
Symmetry-distinct sites (fractional):
Ce: 0.0462 0.0141 0.2051  3 Rh 2.72-2.81
Ce: 0.2813 0.6671 0.1047  3 Pt 2.82-3.05, 1 Rh 3.03
Ce: 0.3495 0.1827 0.9704  1 Rh 2.77, 2 Pt 2.98-3.09
Pt: 0.4281 0.5379 0.8034  6 Ce 2.82-3.12, 1 Pt 3.04
Rh: 0.0857 0.1692 0.5457  5 Ce 2.72-3.03, 1 Rh 2.96

=====

6.
Crystalline NdInPbI6 at its relaxed geometry. Source: Alexandria, functional PBE.

Output
Magnetic moment   0.000 μB per cell
E   -3.222 eV per atom

Cell: 8.1560 8.1560 15.1674 Å, 90.00 90.00 120.00°
With the nearest neighbours (Å) after each atom.
Space group P-31c (No. 163)
Symmetry-distinct sites (fractional):
Nd: 0.3333 0.6667 0.2500  6 I 3.14
In: 0.0000 0.0000 0.0000  6 I 3.52
Pb: 0.3333 0.6667 0.7500  6 I 3.25
I: 0.0108 0.3633 0.1296  1 Nd 3.14, 1 Pb 3.25

=====

7.
Crystalline MgWBr2 at its relaxed geometry. Source: Alexandria, functional PBE.

Output
Magnetic moment   7.001 μB per cell
Polymorph energy (0 for the lowest one)   0.873 eV/atom
E   -3.643 eV per atom

Cell: 3.9639 3.9639 11.8630 Å, 90.00 90.00 90.00°
With the nearest neighbours (Å) after each atom.
Space group I-4m2 (No. 119)
Symmetry-distinct sites (fractional):
Mg: 0.0000 0.0000 0.0000  4 Br 2.80
W: 0.0000 0.5000 0.7500  4 Br 2.80
Br: 0.0000 0.0000 0.5000  4 Mg 2.80
Br: 0.0000 0.5000 0.2500  4 W 2.80

=====

8.
Crystalline CsNa3Te2 at its relaxed geometry. Source: Alexandria, functional PBE.

Output
Magnetic moment   0.000 μB per cell
E   -2.771 eV per atom

Cell: 18.5837 5.1045 11.6485 Å, 90.00 119.33 90.00°
With the nearest neighbours (Å) after each atom.
Space group C2/m (No. 12)
Symmetry-distinct sites (fractional):
Cs: 0.1252 0.0000 0.1036  6 Te 3.97-4.31, 4 Na 4.00-4.39, 1 Cs 4.06
Na: 0.0109 0.0000 0.3482  3 Te 3.06-3.19
Na: 0.1281 0.5000 0.7070  3 Te 3.01-3.07
Na: 0.1681 0.5000 0.4384  4 Te 3.11-3.25
Te: 0.0071 0.5000 0.8080  4 Na 3.01-3.11
Te: 0.1802 0.0000 0.6200  6 Na 3.07-3.25

=====

9.
Crystalline CsDyPaSe4 at its relaxed geometry. Source: Alexandria, functional PBE.

Output
Magnetic moment   4.044 μB per cell
E   -5.583 eV per atom

Cell: 9.0501 9.1042 12.4908 Å, 90.00 90.00 90.00°
With the nearest neighbours (Å) after each atom.
Space group Imma (No. 74)
Symmetry-distinct sites (fractional):
Cs: 0.0000 0.2500 0.1283  4 Se 3.27-3.28
Dy: 0.2500 0.2500 0.7500  6 Se 2.92-2.93
Pa: 0.0000 0.0000 0.5000  6 Se 2.88-2.91
Se: 0.0000 0.0493 0.7277  1 Pa 2.88, 2 Dy 2.92
Se: 0.1996 0.2500 0.5181  2 Pa 2.91, 1 Dy 2.93

=====

10.
Crystalline Nd2SnHg2 at its relaxed geometry. Source: Alexandria, functional PBE.

Output
Magnetic moment   0.000 μB per cell
Polymorph energy (0 for the lowest one)   0.000 eV/atom
E_form   -508 meV/atom
E   -3.337 eV per atom

Cell: 11.6401 4.6838 11.3959 Å, 90.00 115.21 90.00°
With the nearest neighbours (Å) after each atom.
Space group C2/m (No. 12)
Symmetry-distinct sites (fractional):
Nd: 0.0081 0.0000 0.3314  6 Hg 3.28-3.52, 3 Sn 3.33-3.42
Nd: 0.1804 0.0000 0.0981  3 Hg 3.13-3.22, 2 Sn 3.31
Sn: 0.2159 0.5000 0.3162  4 Hg 2.91-3.12
Hg: 0.0460 0.5000 0.8902  1 Sn 2.95, 1 Hg 3.11, 5 Nd 3.13-3.30
Hg: 0.1415 0.5000 0.5484  3 Sn 2.91-3.12, 1 Hg 3.00

=====

11.
Crystalline YCr2Mo at its relaxed geometry. Source: Alexandria, functional PBE.

Output
Magnetic moment   0.012 μB per cell
Polymorph energy (0 for the lowest one)   0.344 eV/atom
E_form   699 meV/atom
E   -8.437 eV per atom

Cell: 5.7230 8.5566 2.8063 Å, 90.00 110.70 90.00°
With the nearest neighbours (Å) after each atom.
Space group C2/m (No. 12)
Symmetry-distinct sites (fractional):
Y: 0.0000 0.0000 0.0000  4 Cr 2.68, 2 Y 2.81, 2 Mo 2.86
Cr: 0.2500 0.2500 0.5000  2 Mo 2.68, 2 Y 2.68, 4 Cr 2.81-2.86
Mo: 0.0000 0.5000 0.0000  4 Cr 2.68, 2 Mo 2.81, 2 Y 2.86

=====

12.
Crystalline Tb2HoNpP4 at its relaxed geometry. Source: Alexandria, functional PBE.

Output
Magnetic moment   3.601 μB per cell
E_form   -1421 meV/atom
E   -7.473 eV per atom

Cell: 6.9143 3.9905 6.9197 Å, 90.00 109.32 90.00°
With the nearest neighbours (Å) after each atom.
Space group P2/m (No. 10)
Symmetry-distinct sites (fractional):
Tb: 0.0000 0.0000 0.0000  6 P 2.85-2.86
Tb: 0.5000 0.5000 0.0000  6 P 2.83-2.84
Ho: 0.0000 0.5000 0.5000  6 P 2.81-2.82
Np: 0.5000 0.0000 0.5000  6 P 2.78-2.80
P: 0.2519 0.0000 0.7446  1 Np 2.78, 2 Ho 2.82, 3 Tb 2.84-2.86
P: 0.2543 0.5000 0.2561  2 Np 2.80, 1 Ho 2.81, 3 Tb 2.83-2.85

=====

13.
Crystalline AcGa4NiPt2 at its relaxed geometry. Source: Alexandria, functional PBE.

Output
Magnetic moment   0.000 μB per cell
E_form   -645 meV/atom
E   -4.905 eV per atom

Cell: 4.3113 4.3113 27.5182 Å, 90.00 90.00 120.00°
With the nearest neighbours (Å) after each atom.
Space group R-3m (No. 166, hexagonal axes)
Symmetry-distinct sites (fractional):
Ac: 0.0000 0.0000 0.0000  6 Ga 3.21
Ga: 0.0000 0.0000 0.1355  3 Ni 2.63, 4 Pt 2.65-2.66
Ga: 0.0000 0.0000 0.4071  1 Ni 2.56, 3 Pt 2.60
Ni: 0.0000 0.0000 0.5000  8 Ga 2.56-2.63
Pt: 0.0000 0.0000 0.2317  7 Ga 2.60-2.66

=====

14.
Crystalline BaFeNi at its relaxed geometry. Source: Alexandria, functional PBE.

Output
Magnetic moment   15.927 μB per cell
Polymorph energy (0 for the lowest one)   1.150 eV/atom
E_form   1497 meV/atom
E   -3.892 eV per atom

Cell: 7.0807 7.0807 7.0807 Å, 90.00 90.00 90.00°
With the nearest neighbours (Å) after each atom.
Space group F-43m (No. 216)
Symmetry-distinct sites (fractional):
Ba: 0.0000 0.0000 0.0000  4 Ni 3.07, 4 Fe 3.07
Fe: 0.2500 0.2500 0.7500  4 Ba 3.07
Ni: 0.2500 0.2500 0.2500  4 Ba 3.07

=====

15.
Crystalline LaZrCd2 at its relaxed geometry. Source: Alexandria, functional PBE.

Output
Magnetic moment   0.000 μB per cell
Polymorph energy (0 for the lowest one)   0.117 eV/atom
E_form   -51 meV/atom
E   -3.877 eV per atom

Cell: 11.5165 3.4260 5.5861 Å, 90.00 113.09 90.00°
With the nearest neighbours (Å) after each atom.
Space group Cm (No. 8)
Symmetry-distinct sites (fractional):
La: 0.0000 0.0000 0.0000  3 Zr 3.26-3.30, 7 Cd 3.27-3.60, 2 La 3.43
Zr: 0.2379 0.0000 0.8104  6 Cd 3.12-3.31, 3 La 3.26-3.30, 2 Zr 3.43
Cd: 0.9999 0.5000 0.4983  2 Cd 2.99, 2 Zr 3.12, 4 La 3.27-3.28
Cd: 0.2692 0.5000 0.3394  2 Cd 2.99, 4 Zr 3.28-3.31

=====

16.
Crystalline La3Sm5Sc2 at its relaxed geometry. Source: Alexandria, functional PBE.

Output
Magnetic moment   0.000 μB per cell
E_form   175 meV/atom
E   -4.929 eV per atom

Cell: 10.9678 16.0973 9.3186 Å, 90.00 125.93 90.00°
With the nearest neighbours (Å) after each atom.
Space group C2/c (No. 15)
Symmetry-distinct sites (fractional):
La: 0.0000 0.2325 0.2500  3 Sm 3.28-3.67, 4 Sc 3.31-3.66, 2 La 3.52
La: 0.1461 0.1270 0.0509  1 Sc 3.07, 2 Sm 3.30-3.39
Sm: 0.0000 0.0290 0.2500  5 La 3.28-3.46, 2 Sc 3.42, 2 Sm 3.61
Sm: 0.0000 0.2760 0.7500  1 Sm 3.12, 2 La 3.30
Sm: 0.0000 0.4701 0.7500  1 Sm 3.12, 4 Sc 3.21-3.46
Sm: 0.2352 0.3872 0.2304  2 Sc 3.42-3.55, 2 Sm 3.54-3.61, 3 La 3.55-3.67
Sc: 0.1494 0.3852 0.5433  2 La 3.07-3.31, 3 Sm 3.21-3.42

=====

17.
Crystalline ZrGaPtF2 at its relaxed geometry. Source: Alexandria, functional PBE.

Output
Magnetic moment   0.000 μB per cell
E   -5.276 eV per atom

Cell: 3.9413 3.9413 6.2647 Å, 90.00 90.00 90.00°
With the nearest neighbours (Å) after each atom.
Space group P4/mmm (No. 123)
Symmetry-distinct sites (fractional):
Zr: 0.0000 0.0000 0.0000  4 Pt 2.79
Ga: 0.0000 0.0000 0.5000  4 F 1.97
Pt: 0.5000 0.5000 0.0000  4 Zr 2.79
F: 0.0000 0.5000 0.5000  2 Ga 1.97

=====

18.
Crystalline InHg4 at its relaxed geometry. Source: Alexandria, functional PBE.

Output
Magnetic moment   0.000 μB per cell
Polymorph energy (0 for the lowest one)   0.075 eV/atom
E_form   75 meV/atom
E   -0.715 eV per atom

Cell: 5.7748 5.7748 5.7748 Å, 90.00 90.00 90.00°
With the nearest neighbours (Å) after each atom.
Space group Pm-3m (No. 221)
Symmetry-distinct sites (fractional):
In: 0.0000 0.0000 0.0000  6 Hg 2.89
Hg: 0.0000 0.0000 0.5000  2 In 2.89
Hg: 0.5000 0.5000 0.5000  12 Hg 4.08

=====

19.
Crystalline Cr2ReMoP at its relaxed geometry. Source: Alexandria, functional PBE.

Output
Magnetic moment   4.580 μB per cell
E_form   1619 meV/atom
E   -7.969 eV per atom

Cell: 4.6390 4.6390 4.7577 Å, 90.00 90.00 90.00°
With the nearest neighbours (Å) after each atom.
Space group P4/mmm (No. 123)
Symmetry-distinct sites (fractional):
Cr: 0.0000 0.5000 0.0000  2 Re 2.32
Re: 0.0000 0.0000 0.0000  4 Cr 2.32, 2 Mo 2.38
Mo: 0.0000 0.0000 0.5000  2 Re 2.38
P: 0.5000 0.5000 0.5000  4 Mo 3.28, 8 Cr 3.32

=====

20.
Crystalline Na4Er3TmSe8 at its relaxed geometry. Source: Alexandria, functional PBE.

Output
Magnetic moment   0.000 μB per cell
E   -4.910 eV per atom

Cell: 8.2156 8.2156 21.0264 Å, 90.00 90.00 120.00°
With the nearest neighbours (Å) after each atom.
Space group R-3m (No. 166, hexagonal axes)
Symmetry-distinct sites (fractional):
Na: 0.0000 0.0000 0.0000  6 Se 3.05
Na: 0.0000 0.5000 0.0000  6 Se 3.04
Er: 0.0000 0.5000 0.5000  6 Se 2.86
Tm: 0.0000 0.0000 0.5000  6 Se 2.85
Se: 0.0000 0.0000 0.2425  3 Er 2.86, 3 Na 3.04
Se: 0.0010 0.5005 0.2424  1 Tm 2.85, 2 Er 2.86, 3 Na 3.04-3.05